# 1
An optimized crystal structure of KLiScI5, computed with PBE.

SG ... No. 15
Uncorrected formation energy ... -1.257 eV/atom
E ... -54.31 eV/cell
Density ... 3.619 Mg/m³

The structure in CIF format:
```
data_KLiScI5
_space_group_name_H-M_alt 'P 1'
_space_group_IT_number 1
_cell_length_a 8.298
_cell_length_b 8.298
_cell_length_c 11.002
_cell_angle_alpha 102.87
_cell_angle_beta 102.87
_cell_angle_gamma 108.20
loop_
_space_group_symop_operation_xyz
'x,y,z'
loop_
_atom_site_label
_atom_site_fract_x
_atom_site_fract_y
_atom_site_fract_z
K1 0.145 0.855 0.750
K2 0.855 0.145 0.250
Li1 0.191 0.809 0.250
Li2 0.809 0.191 0.750
Sc1 0.500 0.500 0.000
Sc2 0.500 0.500 0.500
I1 0.131 0.265 0.940
I2 0.193 0.578 0.393
I3 0.265 0.131 0.440
I4 0.421 0.579 0.750
I5 0.422 0.807 0.107
I6 0.578 0.193 0.893
I7 0.579 0.421 0.250
I8 0.735 0.869 0.560
I9 0.807 0.422 0.607
I10 0.869 0.735 0.060
```


# 2
An optimized crystal structure of MgPSe2, computed with PBE.

SG ... No. 12
Uncorrected formation energy ... -0.091 eV/atom
Relative energy among the computed polymorphs ... 0.325 eV/atom
E ... -14.34 eV/cell
Density ... 3.848 Mg/m³

The structure in CIF format:
```
data_MgPSe2
_space_group_name_H-M_alt 'P 1'
_space_group_IT_number 1
_cell_length_a 5.948
_cell_length_b 5.948
_cell_length_c 4.449
_cell_angle_alpha 90.02
_cell_angle_beta 90.02
_cell_angle_gamma 35.77
loop_
_space_group_symop_operation_xyz
'x,y,z'
loop_
_atom_site_label
_atom_site_fract_x
_atom_site_fract_y
_atom_site_fract_z
Mg1 0.000 0.000 0.000
P1 0.500 0.500 0.500
Se1 0.335 0.335 0.173
Se2 0.665 0.665 0.827
```


# 3
An optimized crystal structure of TmSc2Ir3, computed with PBE.

SG ... No. 65
Energy of formation from the pure elements ... -0.97 eV/atom
Relative energy among the computed polymorphs ... 0.000 eV/atom
E ... -99.05 eV/cell
Density ... 13.085 Mg/m³

The structure in CIF format:
```
data_TmSc2Ir3
_space_group_name_H-M_alt 'P 1'
_space_group_IT_number 1
_cell_length_a 7.325
_cell_length_b 7.325
_cell_length_c 6.583
_cell_angle_alpha 90.00
_cell_angle_beta 90.00
_cell_angle_gamma 143.11
loop_
_space_group_symop_operation_xyz
'x,y,z'
loop_
_atom_site_label
_atom_site_fract_x
_atom_site_fract_y
_atom_site_fract_z
Tm1 0.166 0.834 0.000
Tm2 0.834 0.166 0.000
Sc1 0.166 0.834 0.500
Sc2 0.500 0.500 0.000
Sc3 0.500 0.500 0.500
Sc4 0.834 0.166 0.500
Ir1 0.000 0.000 0.257
Ir2 0.000 0.000 0.743
Ir3 0.336 0.664 0.260
Ir4 0.336 0.664 0.740
Ir5 0.664 0.336 0.260
Ir6 0.664 0.336 0.740
```


# 4
An optimized crystal structure of NpUTc, computed with PBE.

SG ... No. 62
Energy of formation from the pure elements ... -0.03 eV/atom
Relative energy among the computed polymorphs ... 0.009 eV/atom
E ... -138.72 eV/cell
Density ... 17.720 Mg/m³

The structure in CIF format:
```
data_NpUTc
_space_group_name_H-M_alt 'P 1'
_space_group_IT_number 1
_cell_length_a 5.849
_cell_length_b 4.598
_cell_length_c 7.986
_cell_angle_alpha 90.00
_cell_angle_beta 90.00
_cell_angle_gamma 90.00
loop_
_space_group_symop_operation_xyz
'x,y,z'
loop_
_atom_site_label
_atom_site_fract_x
_atom_site_fract_y
_atom_site_fract_z
Np1 0.187 0.250 0.100
Np2 0.313 0.750 0.600
Np3 0.687 0.250 0.400
Np4 0.813 0.750 0.900
U1 0.248 0.750 0.934
U2 0.252 0.250 0.434
U3 0.748 0.750 0.566
U4 0.752 0.250 0.066
Tc1 0.005 0.250 0.721
Tc2 0.495 0.750 0.221
Tc3 0.505 0.250 0.779
Tc4 0.995 0.750 0.279
```


# 5
An optimized crystal structure of LiY3Np3N8, computed with PBE.

SG ... No. 166
Uncorrected formation energy ... -1.054 eV/atom
E ... -142.54 eV/cell
Density ... 8.370 Mg/m³

The structure in CIF format:
```
data_LiY3Np3N8
_space_group_name_H-M_alt 'P 1'
_space_group_IT_number 1
_cell_length_a 6.770
_cell_length_b 6.770
_cell_length_c 6.770
_cell_angle_alpha 59.62
_cell_angle_beta 59.62
_cell_angle_gamma 59.62
loop_
_space_group_symop_operation_xyz
'x,y,z'
loop_
_atom_site_label
_atom_site_fract_x
_atom_site_fract_y
_atom_site_fract_z
Li1 0.000 0.000 0.000
Y1 0.000 0.000 0.500
Y2 0.000 0.500 0.000
Y3 0.500 0.000 0.000
Np1 0.000 0.500 0.500
Np2 0.500 0.000 0.500
Np3 0.500 0.500 0.000
N1 0.243 0.243 0.728
N2 0.243 0.728 0.243
N3 0.249 0.249 0.249
N4 0.272 0.757 0.757
N5 0.728 0.243 0.243
N6 0.751 0.751 0.751
N7 0.757 0.272 0.757
N8 0.757 0.757 0.272
```


# 6
An optimized crystal structure of GaHRh4, computed with PBE.

SG ... No. 99
Relative energy among the computed polymorphs ... 0.280 eV/atom
E ... -34.63 eV/cell
Density ... 9.437 Mg/m³

The structure in CIF format:
```
data_GaHRh4
_space_group_name_H-M_alt 'P 1'
_space_group_IT_number 1
_cell_length_a 3.790
_cell_length_b 3.790
_cell_length_c 5.908
_cell_angle_alpha 90.00
_cell_angle_beta 90.00
_cell_angle_gamma 90.00
loop_
_space_group_symop_operation_xyz
'x,y,z'
loop_
_atom_site_label
_atom_site_fract_x
_atom_site_fract_y
_atom_site_fract_z
Ga1 0.000 0.000 0.000
H1 0.500 0.500 0.290
Rh1 0.000 0.500 0.288
Rh2 0.000 0.500 0.711
Rh3 0.500 0.000 0.288
Rh4 0.500 0.000 0.711
```


# 7
An optimized crystal structure of Ac4Sn5Pt2, computed with PBE.

SG ... No. 10
Energy of formation from the pure elements ... -0.80 eV/atom
E ... -57.36 eV/cell
Density ... 9.377 Mg/m³

The structure in CIF format:
```
data_Ac4Sn5Pt2
_space_group_name_H-M_alt 'P 1'
_space_group_IT_number 1
_cell_length_a 7.820
_cell_length_b 4.590
_cell_length_c 9.336
_cell_angle_alpha 90.00
_cell_angle_beta 91.54
_cell_angle_gamma 90.00
loop_
_space_group_symop_operation_xyz
'x,y,z'
loop_
_atom_site_label
_atom_site_fract_x
_atom_site_fract_y
_atom_site_fract_z
Ac1 0.212 0.000 0.359
Ac2 0.234 0.000 0.909
Ac3 0.766 0.000 0.091
Ac4 0.788 0.000 0.641
Sn1 0.130 0.500 0.632
Sn2 0.439 0.500 0.160
Sn3 0.500 0.500 0.500
Sn4 0.561 0.500 0.840
Sn5 0.870 0.500 0.368
Pt1 0.083 0.500 0.134
Pt2 0.917 0.500 0.866
```


# 8
An optimized crystal structure of TbCe2Tm3As6, computed with PBE.

SG ... No. 12
Energy of formation from the pure elements ... -1.48 eV/atom
E ... -75.61 eV/cell
Density ... 7.772 Mg/m³

The structure in CIF format:
```
data_TbCe2Tm3As6
_space_group_name_H-M_alt 'P 1'
_space_group_IT_number 1
_cell_length_a 9.216
_cell_length_b 9.216
_cell_length_c 8.249
_cell_angle_alpha 102.77
_cell_angle_beta 102.77
_cell_angle_gamma 25.91
loop_
_space_group_symop_operation_xyz
'x,y,z'
loop_
_atom_site_label
_atom_site_fract_x
_atom_site_fract_y
_atom_site_fract_z
Tb1 0.000 0.000 0.000
Ce1 0.334 0.334 0.668
Ce2 0.666 0.666 0.332
Tm1 0.000 0.000 0.500
Tm2 0.334 0.334 0.166
Tm3 0.666 0.666 0.834
As1 0.165 0.165 0.588
As2 0.168 0.168 0.078
As3 0.498 0.498 0.252
As4 0.502 0.502 0.748
As5 0.832 0.832 0.922
As6 0.835 0.835 0.412
```